Entry 1:
## Y3ZnGa12 (GGA-PBE)

Data for an optimized crystal structure of Y3ZnGa12.

Cell lengths 4.2567, 4.2567, 16.9512 Å; angles 90.00, 90.00, 90.00 degrees
Space group P4/mmm (No. 123)
Symmetry-distinct sites (fractional):
Y1 0.0000 0.0000 0.0000
Y2 0.0000 0.0000 0.2571
Zn1 0.0000 0.0000 0.5000
Ga1 0.0000 0.5000 0.1285
Ga2 0.0000 0.5000 0.3885
Ga3 0.5000 0.5000 0.0000
Ga4 0.5000 0.5000 0.2440
Ga5 0.5000 0.5000 0.5000

Values from the calculation:
- Density of states at the Fermi level: 4.397 states/eV per cell
- Electronic total energy: -63.06 eV/cell
- Formation energy: -0.379 eV per atom



Entry 2:
## NpBeP (GGA-PBE)

Data for an optimized crystal structure of NpBeP.

Cell lengths 3.6551, 3.6551, 4.0999 Å; angles 90.00, 90.00, 120.00 degrees
Space group P-6m2 (No. 187)
Symmetry-distinct sites (fractional):
Np1 0.0000 0.0000 0.0000
Be1 0.3333 0.6667 0.5000
P1 0.6667 0.3333 0.5000

Values from the calculation:
- Density of states at the Fermi level: 4.890 states/eV per cell
- Electronic total energy: -23.77 eV/cell
- E above lowest polymorph: 18 meV/atom
- Formation energy: -0.564 eV per atom



Entry 3:
## ErPaHgPd (GGA-PBE)

Data for an optimized crystal structure of ErPaHgPd.

Cell lengths 7.2163, 7.2163, 7.2163 Å; angles 90.00, 90.00, 90.00 degrees
Space group F-43m (No. 216)
Symmetry-distinct sites (fractional):
Er1 0.0000 0.0000 0.0000
Pa1 0.0000 0.0000 0.5000
Hg1 0.2500 0.2500 0.2500
Pd1 0.2500 0.2500 0.7500

Values from the calculation:
- Density of states at the Fermi level: 21.115 states/eV per cell
- Electronic total energy: -82.35 eV/cell
- Formation energy: -0.258 eV per atom



Repeat the second record exactly.
## NpBeP (GGA-PBE)

Data for an optimized crystal structure of NpBeP.

Cell lengths 3.6551, 3.6551, 4.0999 Å; angles 90.00, 90.00, 120.00 degrees
Space group P-6m2 (No. 187)
Symmetry-distinct sites (fractional):
Np1 0.0000 0.0000 0.0000
Be1 0.3333 0.6667 0.5000
P1 0.6667 0.3333 0.5000

Values from the calculation:
- Density of states at the Fermi level: 4.890 states/eV per cell
- Electronic total energy: -23.77 eV/cell
- E above lowest polymorph: 18 meV/atom
- Formation energy: -0.564 eV per atom



- The lowest electronic total energy belongs to which entry?
  ErPaHgPd